# PBE TbTm3Sc3, relaxed
# E above lowest polymorph   0.0 meV per atom
# Density   6.768 Mg/m³
data_TbTm3Sc3
_chemical_formula_sum 'Tb2 Tm6 Sc6'
_symmetry_space_group_name_H-M 'P 63/m'
_symmetry_Int_Tables_number 176
_symmetry_space_group_name_Hall '-P 6c'
_cell_length_a 9.1666
_cell_length_b 9.1666
_cell_length_c 5.3987
_cell_angle_alpha 90.00
_cell_angle_beta 90.00
_cell_angle_gamma 120.00
loop_
_atom_site_label
_atom_site_fract_x
_atom_site_fract_y
_atom_site_fract_z
Tb1 0.3333 0.6667 0.2500
Tm1 0.0475 0.8051 0.2500
Sc1 0.0958 0.6153 0.7500


# PBE TbTm4Sc2, relaxed
# E above lowest polymorph   219.8 meV per atom
# Density   7.339 Mg/m³
data_TbTm4Sc2
_chemical_formula_sum 'Tb4 Tm16 Sc8'
_symmetry_space_group_name_H-M 'C 1 c 1'
_symmetry_Int_Tables_number 9
_symmetry_space_group_name_Hall 'C -2yc'
_cell_length_a 9.4014
_cell_length_b 13.3467
_cell_length_c 8.1519
_cell_angle_alpha 90.00
_cell_angle_beta 125.11
_cell_angle_gamma 90.00
loop_
_atom_site_label
_atom_site_fract_x
_atom_site_fract_y
_atom_site_fract_z
Tb1 0.0000 0.1253 0.0000
Tm1 0.1526 0.2542 0.4198
Tm2 0.1856 0.0853 0.7572
Tm3 0.2320 0.4958 0.5793
Tm4 0.4274 0.1645 0.2412
Sc1 0.3214 0.3224 0.8933
Sc2 0.4268 0.0719 0.6051


# PBE Tb8TmSc2, relaxed
# E above lowest polymorph   0.0 meV per atom
# Density   7.448 Mg/m³
data_Tb8TmSc2
_chemical_formula_sum 'Tb16 Tm2 Sc4'
_symmetry_space_group_name_H-M 'I m m m'
_symmetry_Int_Tables_number 71
_symmetry_space_group_name_Hall '-I 2 2'
_cell_length_a 5.3713
_cell_length_b 8.2385
_cell_length_c 15.4190
_cell_angle_alpha 90.00
_cell_angle_beta 90.00
_cell_angle_gamma 90.00
loop_
_atom_site_label
_atom_site_fract_x
_atom_site_fract_y
_atom_site_fract_z
Tb1 0.0000 0.0000 0.1611
Tb2 0.0000 0.2038 0.3577
Tb3 0.0000 0.3006 0.0000
Tm1 0.0000 0.5000 0.5000
Sc1 0.0000 0.5000 0.2018


# PBE Tb3Tm4Sc2, relaxed
# E above lowest polymorph   25.8 meV per atom
# Density   7.694 Mg/m³
data_Tb3Tm4Sc2
_chemical_formula_sum 'Tb12 Tm16 Sc8'
_symmetry_space_group_name_H-M 'C 1 2/c 1'
_symmetry_Int_Tables_number 15
_symmetry_space_group_name_Hall '-C 2yc'
_cell_length_a 13.4860
_cell_length_b 13.1875
_cell_length_c 6.3051
_cell_angle_alpha 90.00
_cell_angle_beta 106.95
_cell_angle_gamma 90.00
loop_
_atom_site_label
_atom_site_fract_x
_atom_site_fract_y
_atom_site_fract_z
Tb1 0.0000 0.0405 0.2500
Tb2 0.1000 0.4275 0.9788
Tm1 0.1226 0.2951 0.4962
Tm2 0.1347 0.1816 0.9929
Sc1 0.2059 0.0476 0.6282


| no. | DOS at the Fermi energy (states/eV/cell) | spin magnetization (μB/f.u.) |
| --- | --- | --- |
| 1 | 28.490 | 0.41 |
| 2 | 51.425 | 0.00 |
| 3 | 36.951 | 0.00 |
| 4 | 52.301 | 0.00 |